A plane-wave DFT calculation with GGA-PBE was carried out for crystalline Ba2ZnGaIr at its relaxed geometry.

```
Ba2ZnGaIr
1.0
-1.315 -5.684 -1.756
3.471 -2.194 4.501
-3.834 -0.023 2.945
Zn Ir Ba Ga
1 1 2 1
direct
0.500 0.500 0.500 Zn
0.000 0.000 0.000 Ir
0.000 0.500 0.000 Ba
0.500 0.000 0.000 Ba
0.000 0.000 0.500 Ga
```

Calculated formation energy in meV/atom: -182
Symmetry: No. 123